ZnFe3Pt after structural relaxation, computed with PBE-GGA.

Cell: 4.6954 4.6954 4.6954 Å, 90.00 90.00 90.00°
With the nearest neighbours (Å) after each atom.
Fractional coordinates of all 5 atoms:
Fe: 0.0000 0.5000 0.0000  2 Pt 2.35
Fe: 0.5000 0.0000 0.0000  2 Pt 2.35
Fe: 0.0000 0.0000 0.5000  2 Pt 2.35
Pt: 0.0000 0.0000 0.0000  6 Fe 2.35
Zn: 0.5000 0.5000 0.5000  12 Fe 3.32

- DFT formation energy (meV/atom) = 1080.4
- mass density (g/cm³) = 6.87
- calculated total energy (eV/atom) = -5.46
- DOS at the Fermi energy (states/eV/atom) = 0.978
- SG = No. 221

***

Zn2FePt2 after structural relaxation, computed with PBE-GGA.

Cell: 7.3139 7.3139 2.8711 Å, 90.00 90.00 90.00°
With the nearest neighbours (Å) after each atom.
Fractional coordinates of all 10 atoms:
Zn: 0.6465 0.8535 0.5000  6 Pt 2.53-2.62
Zn: 0.1465 0.6465 0.5000  6 Pt 2.53-2.62
Pt: 0.1527 0.3473 0.0000  6 Zn 2.53-2.62, 2 Fe 2.77
Fe: 0.0000 0.0000 0.0000  4 Pt 2.77, 2 Fe 2.87
Zn: 0.8535 0.3535 0.5000  6 Pt 2.53-2.62
Zn: 0.3535 0.1465 0.5000  6 Pt 2.53-2.62
Pt: 0.8473 0.6527 0.0000  6 Zn 2.53-2.62, 2 Fe 2.77
Fe: 0.5000 0.5000 0.0000  4 Pt 2.77, 2 Fe 2.87
Pt: 0.6527 0.1527 0.0000  6 Zn 2.53-2.62, 2 Fe 2.77
Pt: 0.3473 0.8473 0.0000  6 Zn 2.53-2.62, 2 Fe 2.77

- DFT formation energy (meV/atom) = -199.7
- mass density (g/cm³) = 12.47
- calculated total energy (eV/atom) = -4.82
- DOS at the Fermi energy (states/eV/atom) = 0.647
- SG = No. 127

***

ZnFePt2 after structural relaxation, computed with PBE-GGA.

Cell: 4.4817 2.8083 4.5932 Å, 89.99 90.00 90.00°
With the nearest neighbours (Å) after each atom.
Fractional coordinates of all 4 atoms:
Zn: 0.0000 0.6248 0.4309  8 Pt 2.68-2.71, 2 Zn 2.81, 2 Fe 2.86
Pt: 0.5000 0.1249 0.3244  4 Fe 2.66-2.72, 4 Zn 2.69, 4 Pt 2.81-2.89
Pt: 0.0000 0.1249 0.9275  4 Zn 2.68-2.71, 4 Fe 2.69, 4 Pt 2.81-2.89
Fe: 0.5000 0.6253 0.8172  8 Pt 2.66-2.72, 2 Fe 2.81, 2 Zn 2.86

- DFT formation energy (meV/atom) = -330.6
- mass density (g/cm³) = 14.69
- calculated total energy (eV/atom) = -5.79
- DOS at the Fermi energy (states/eV/atom) = 0.731
- SG = No. 25

***

ZnFe5Pt6 after structural relaxation, computed with PBE-GGA.

Cell: 4.6232 5.5428 7.2151 Å, 67.31 87.30 89.94°
With the nearest neighbours (Å) after each atom.
Fractional coordinates of all 12 atoms:
Fe: 0.0000 0.5000 0.0000  8 Pt 2.68-2.69, 2 Zn 2.77, 2 Fe 2.81
Pt: 0.1601 0.9154 0.6678  7 Fe 2.67-2.73, 1 Zn 2.69, 4 Pt 2.74-2.78
Pt: 0.5001 0.7485 0.9999  6 Fe 2.69-2.75, 2 Zn 2.70, 4 Pt 2.75-2.79
Fe: 0.6596 0.6687 0.6624  4 Fe 2.62-2.81, 8 Pt 2.69-2.71
Fe: 0.6534 0.1724 0.6554  3 Fe 2.62-2.77, 8 Pt 2.66-2.75, 1 Zn 2.86
Fe: 0.3404 0.3313 0.3376  4 Fe 2.62-2.81, 8 Pt 2.69-2.71
Pt: 0.8400 0.5831 0.3321  7 Fe 2.66-2.73, 1 Zn 2.68, 4 Pt 2.74-2.78
Zn: 0.0000 0.0000 0.0000  8 Pt 2.68-2.70, 4 Fe 2.77-2.86
Pt: 0.1600 0.4169 0.6679  7 Fe 2.66-2.73, 1 Zn 2.68, 4 Pt 2.74-2.78
Pt: 0.8399 0.0846 0.3322  7 Fe 2.67-2.73, 1 Zn 2.69, 4 Pt 2.74-2.78
Pt: 0.4999 0.2515 0.0001  6 Fe 2.69-2.75, 2 Zn 2.70, 4 Pt 2.75-2.79
Fe: 0.3466 0.8276 0.3446  3 Fe 2.62-2.77, 8 Pt 2.66-2.75, 1 Zn 2.86

- DFT formation energy (meV/atom) = -282.3
- mass density (g/cm³) = 14.77
- calculated total energy (eV/atom) = -6.93
- DOS at the Fermi energy (states/eV/atom) = 0.566
- SG = No. 2

***

Zn2FePt after structural relaxation, computed with PBE-GGA.

Cell: 4.3054 4.3054 4.3054 Å, 60.00 60.00 60.00°
With the nearest neighbours (Å) after each atom.
Fractional coordinates of all 4 atoms:
Fe: 0.5000 0.5000 0.5000  4 Pt 2.64, 4 Zn 2.64
Zn: 0.0000 0.0000 0.0000  4 Pt 2.64, 4 Zn 2.64
Zn: 0.2500 0.2500 0.2500  4 Fe 2.64, 4 Zn 2.64
Pt: 0.7500 0.7500 0.7500  4 Fe 2.64, 4 Zn 2.64

- DFT formation energy (meV/atom) = -180.6
- mass density (g/cm³) = 11.23
- calculated total energy (eV/atom) = -4.44
- DOS at the Fermi energy (states/eV/atom) = 0.701
- SG = No. 216

***

ZnFePt2 after structural relaxation, computed with PBE-GGA.

Cell: 4.5679 4.5679 4.8924 Å, 80.19 80.19 35.40°
With the nearest neighbours (Å) after each atom.
Fractional coordinates of all 4 atoms:
Pt: 0.5004 0.5004 0.4963  3 Fe 2.67-2.68, 3 Zn 2.69, 6 Pt 2.78-2.84
Zn: 0.7500 0.7500 0.7500  6 Pt 2.69, 2 Zn 2.78, 4 Fe 2.81
Fe: 0.2500 0.2500 0.2500  6 Pt 2.67-2.68, 2 Fe 2.78, 4 Zn 2.81
Pt: 0.9996 0.9996 0.0037  3 Fe 2.67-2.68, 3 Zn 2.69, 6 Pt 2.78-2.84

- DFT formation energy (meV/atom) = -251.6
- mass density (g/cm³) = 14.60
- calculated total energy (eV/atom) = -5.71
- DOS at the Fermi energy (states/eV/atom) = 0.853
- SG = No. 12

***

Zn2FePt after structural relaxation, computed with PBE-GGA.

Cell: 2.7892 2.7892 7.2684 Å, 90.00 90.00 90.00°
With the nearest neighbours (Å) after each atom.
Fractional coordinates of all 4 atoms:
Zn: 0.5000 0.5000 0.2632  4 Fe 2.61, 8 Zn 2.77-2.79
Zn: 0.0000 0.0000 0.9960  4 Pt 2.70, 8 Zn 2.77-2.79
Fe: 0.0000 0.0000 0.4981  4 Zn 2.61, 4 Pt 2.66, 4 Fe 2.79
Pt: 0.5000 0.5000 0.7427  4 Fe 2.66, 4 Zn 2.70, 4 Pt 2.79

- DFT formation energy (meV/atom) = -182.3
- mass density (g/cm³) = 11.21
- calculated total energy (eV/atom) = -4.45
- DOS at the Fermi energy (states/eV/atom) = 0.422
- SG = No. 99

***

ZnFePt2 after structural relaxation, computed with PBE-GGA.

Cell: 5.2636 5.2636 5.2636 Å, 148.39 130.22 60.18°
With the nearest neighbours (Å) after each atom.
Fractional coordinates of all 4 atoms:
Pt: 0.7394 0.2394 0.5000  4 Fe 2.64, 2 Zn 2.65, 4 Pt 2.86-2.87
Zn: 0.4954 0.4954 0.0000  2 Fe 2.62, 6 Pt 2.64-2.65, 2 Zn 2.87
Fe: 0.2541 0.7541 0.5000  2 Zn 2.62, 6 Pt 2.64, 2 Fe 2.87
Pt: 0.0112 0.0112 0.0000  2 Fe 2.64, 4 Zn 2.64, 4 Pt 2.86-2.87

- DFT formation energy (meV/atom) = -236.1
- mass density (g/cm³) = 14.68
- calculated total energy (eV/atom) = -5.69
- DOS at the Fermi energy (states/eV/atom) = 0.830
- SG = No. 44